# TiSeN2 (meta-GGA SCAN, single point on PBEsol structure)
data_TiSeN2
_chemical_formula_sum 'Ti3 Se3 N6'
_cell_length_a 3.0125
_cell_length_b 3.0125
_cell_length_c 18.3421
_cell_angle_alpha 90.00
_cell_angle_beta 90.00
_cell_angle_gamma 120.00
_symmetry_space_group_name_H-M 'R -3 m'
_symmetry_Int_Tables_number 166
_symmetry_space_group_name_Hall '-R 3 2"'
loop_
_atom_site_label
_atom_site_fract_x
_atom_site_fract_y
_atom_site_fract_z
_atom_site_occupancy
Ti1 0.0000 0.0000 0.0000 1
Se1 0.0000 0.0000 0.5000 1
N1 0.0000 0.0000 0.3923 1
# density of states at the Fermi level: 3.06 states/eV per cell
# polymorph energy (0 for the lowest one): 0.000 eV/atom
# formation energy (no corrections): -487 meV/atom
# E: -14.16 eV/atom